Entry 1:
Density functional theory data (PBE) for a geometry-optimized Nb3SeS structure.

```
Nb3SeS
1.0
4.618 0.000 0.000
0.000 4.618 0.000
0.000 0.000 4.618
S Nb Se
1 3 1
Cartesian
0.000 0.000 0.000
0.000 2.309 0.000
2.309 0.000 0.000
0.000 0.000 2.309
2.309 2.309 2.309
```

Output
E above lowest polymorph = 768 meV/atom

Entry 2:
Density functional theory data (PBE) for a geometry-optimized Nb2SeS3 structure.

```
Nb2SeS3
1.0
-2.884 -1.471 -5.999
-6.584 -1.745 -0.281
-4.862 5.492 -2.883
S Nb Se
6 4 2
Cartesian
-7.499 2.750 -6.753
-4.979 -0.336 -5.270
-8.272 -1.209 -5.411
-9.350 2.613 -3.892
-6.057 3.486 -3.752
-6.830 -0.473 -2.410
-3.292 -0.872 -0.140
-1.442 -0.735 -3.000
-4.734 -1.608 -3.140
0.000 0.000 0.000
-3.590 0.598 -2.294
-10.739 1.678 -6.868
```

Output
E above lowest polymorph = 0 meV/atom

Entry 3:
Density functional theory data (PBE) for a geometry-optimized NbSeS structure.

```
NbSeS
1.0
3.433 0.000 0.000
-1.717 2.973 0.000
0.000 0.000 6.555
Nb Se S
1 1 1
Cartesian
1.717 0.991 2.256
0.000 0.000 0.533
0.000 1.982 3.766
```

Output
E above lowest polymorph = 39 meV/atom

Entry 4:
Density functional theory data (PBE) for a geometry-optimized NbSeS2 structure.

```
NbSeS2
1.0
3.380 0.000 0.000
0.000 10.557 0.000
0.000 0.000 10.471
Se S Nb
4 8 4
Cartesian
2.535 2.018 3.433
2.535 3.260 8.668
0.845 7.297 1.803
0.845 8.539 7.038
2.535 0.069 9.109
0.845 7.710 9.487
2.535 2.432 6.219
0.845 5.348 6.597
0.845 8.125 4.251
0.845 10.488 1.362
2.535 2.847 0.984
2.535 5.209 3.874
2.535 8.832 0.501
2.535 7.003 5.737
0.845 3.554 4.734
0.845 1.725 9.969
```

Entry 5:
Density functional theory data (PBE) for a geometry-optimized Nb3SeS structure.

```
Nb3SeS
1.0
-2.305 1.211 3.873
0.869 -5.169 2.133
6.222 3.477 2.616
Nb Se S
6 2 2
Cartesian
3.767 -0.978 6.765
1.020 0.497 1.857
1.126 0.249 4.810
1.489 -2.245 5.805
3.298 1.765 2.817
3.660 -0.730 3.812
3.259 1.485 5.693
1.527 -1.966 2.929
5.671 -1.370 5.209
-0.885 0.889 3.413
```

Output
E above lowest polymorph = 0 meV/atom

Entry 6:
Density functional theory data (PBE) for a geometry-optimized NbSeS structure.

```
NbSeS
1.0
3.118 0.000 0.000
0.000 3.118 0.000
-1.559 -1.559 6.537
S Nb Se
1 1 1
Cartesian
0.000 0.000 3.669
1.559 1.559 2.282
0.000 0.000 0.586
```

Output
E above lowest polymorph = 246 meV/atom

Entry 7:
Density functional theory data (PBE) for a geometry-optimized Nb2SeS structure.

```
Nb2SeS
1.0
4.012 -0.002 0.005
-2.007 3.477 -0.004
0.006 -0.005 7.274
Se Nb S
1 2 1
Cartesian
-0.051 2.884 1.000
-0.042 2.877 5.550
1.962 1.718 7.148
1.965 1.717 4.624
```

Output
E above lowest polymorph = 0 meV/atom

Entry 8:
Density functional theory data (PBE) for a geometry-optimized Nb7Se12S structure.

```
Nb7Se12S
1.0
8.178 -0.138 -0.207
-2.406 7.818 -0.207
-2.406 -3.202 7.135
Se Nb S
12 7 1
Cartesian
4.879 -0.172 5.323
-1.514 4.650 1.398
4.230 2.917 3.417
1.740 3.202 0.907
3.426 6.071 1.892
4.887 1.352 0.390
2.592 -0.150 2.714
0.774 4.628 4.008
1.625 1.276 5.814
-0.060 -1.593 4.829
-0.865 1.561 3.304
-1.522 3.126 6.331
1.101 3.758 6.428
0.062 -0.644 2.306
1.683 2.239 3.361
2.265 0.720 0.294
-0.636 2.174 0.777
3.304 5.122 4.416
4.001 2.304 5.944
0.000 0.000 0.000
```

Entry 9:
Density functional theory data (PBE) for a geometry-optimized Nb2SiSeS structure.

```
Nb2SiSeS
1.0
-0.490 -3.148 -3.648
3.940 1.429 -1.762
2.367 -3.351 2.574
Si Se Nb S
1 1 2 1
Cartesian
1.970 0.715 -0.881
0.000 0.000 0.000
-0.245 -1.574 -1.824
1.183 -1.676 1.287
2.908 -2.535 -1.418
```

Entry 10:
Density functional theory data (PBE) for a geometry-optimized Nb2SnSe4S2 structure.

```
Nb2SnSe4S2
1.0
-3.169 -0.773 -1.349
2.760 0.487 -2.145
4.557 -20.711 1.164
S Nb Sn Se
2 2 1 4
Cartesian
-0.031 -5.630 -1.318
0.666 -8.801 -1.140
4.459 -20.266 1.139
1.766 -13.797 -0.859
1.510 -6.862 0.386
2.601 -11.820 0.664
2.909 -18.993 -0.567
3.316 -15.072 0.847
-0.932 -1.536 -1.548
```

Entry 11:
Density functional theory data (PBE) for a geometry-optimized SrNbSeS2 structure.

```
SrNbSeS2
1.0
4.651 0.000 0.000
0.000 8.230 0.000
0.000 0.000 4.651
Nb S Sr Se
1 2 1 1
Cartesian
0.000 0.000 0.000
0.000 0.000 2.326
2.326 0.000 0.000
0.000 4.115 0.000
2.326 4.115 2.326
```

Entry 12:
Density functional theory data (PBE) for a geometry-optimized TaNb2Se2S4 structure.

```
TaNb2Se2S4
1.0
3.396 0.000 0.000
-1.698 2.941 0.000
0.000 0.000 21.012
S Nb Se Ta
4 2 2 1
Cartesian
1.698 0.980 18.958
0.000 0.000 15.327
1.698 0.980 1.056
0.000 0.000 12.218
1.698 0.980 13.776
0.000 0.000 20.510
1.698 0.980 8.585
1.698 0.980 5.172
0.000 0.000 6.879
```

Entry 13:
Density functional theory data (PBE) for a geometry-optimized Ta2NbSe2S4 structure.

```
Ta2NbSe2S4
1.0
-2.783 1.089 -1.584
1.089 -3.166 -0.478
-11.868 -6.552 16.354
S Nb Ta Se
4 1 2 2
Cartesian
-6.911 -3.816 9.524
-2.081 -0.655 -0.404
-12.216 -6.250 13.561
-8.644 -4.772 11.912
-3.882 -2.143 5.350
-9.272 -4.624 9.504
-11.589 -6.398 15.969
-4.413 -1.942 2.809
-6.336 -3.004 5.459
```

Entry 14:
Density functional theory data (PBE) for a geometry-optimized Nb2TeSeS structure.

```
Nb2TeSeS
1.0
5.292 0.000 0.000
0.000 4.890 0.000
0.000 0.000 5.292
Se Nb Te S
1 2 1 1
Cartesian
2.646 2.445 2.646
0.000 0.000 2.646
2.646 0.000 0.000
0.000 0.000 0.000
0.000 2.445 0.000
```

Entry 15:
Density functional theory data (PBE) for a geometry-optimized TiNb2Se4S2 structure.

```
TiNb2Se4S2
1.0
-0.411 2.071 2.715
-1.580 -3.053 -0.089
16.731 -8.929 9.344
Ti S Se Nb
1 2 4 2
Cartesian
5.494 -2.932 3.069
5.871 -3.198 5.507
3.520 -1.943 4.194
0.263 -0.205 2.375
12.177 -6.499 6.801
9.487 -5.063 5.298
14.304 -7.698 10.216
10.028 -5.416 7.828
16.451 -8.780 9.188
```

Entry 16:
Density functional theory data (PBE) for a geometry-optimized NbV2Se2S4 structure.

```
NbV2Se2S4
1.0
-2.790 0.037 -1.734
2.833 -0.787 -1.464
-3.105 -19.699 4.578
S V Se Nb
4 2 2 1
Cartesian
-1.056 -1.131 -1.436
-2.262 -14.351 3.335
-1.818 -11.533 2.680
-3.717 -18.011 2.487
-2.956 -13.181 1.364
-3.023 -19.181 4.458
-2.202 -8.399 0.253
-1.667 -5.007 -0.535
-1.019 -6.468 1.503
```

Entry 17:
Density functional theory data (PBE) for a geometry-optimized NbVSeS2 structure.

```
NbVSeS2
1.0
4.783 0.000 0.000
0.000 4.787 0.000
0.000 0.000 4.783
S Se Nb V
2 1 1 1
Cartesian
0.000 0.000 2.391
2.391 0.000 0.000
0.000 0.000 0.000
0.000 2.393 0.000
2.391 2.393 2.391
```

Entry 18:
Density functional theory data (PBE) for a geometry-optimized Nb2VSe2S4 structure.

```
Nb2VSe2S4
1.0
-2.096 2.615 -0.036
-0.588 -2.592 2.043
11.268 9.238 14.964
V Se Nb S
1 2 2 4
Cartesian
3.690 3.025 4.901
1.234 3.198 4.412
2.959 4.612 6.703
5.770 6.916 10.436
11.021 9.035 14.636
8.582 9.222 14.171
6.517 5.343 8.654
8.209 6.730 10.901
-0.994 1.371 1.454
```

Entry 19:
Density functional theory data (PBE) for a geometry-optimized Nb2WSe2S4 structure.

```
Nb2WSe2S4
1.0
3.346 0.000 0.000
-1.673 2.897 0.000
0.000 0.000 21.038
Nb S W Se
2 4 1 2
Cartesian
1.673 0.966 13.787
0.000 0.000 20.534
1.673 0.966 18.966
0.000 0.000 15.355
1.673 0.966 1.069
0.000 0.000 12.214
0.000 0.000 6.893
1.673 0.966 5.218
1.673 0.966 8.569
```

Entry 20:
Density functional theory data (PBE) for a geometry-optimized NbW2Se2S4 structure.

```
NbW2Se2S4
1.0
3.273 0.000 0.000
-1.636 2.834 0.000
0.000 0.000 21.541
S Se Nb W
4 2 1 2
Cartesian
0.000 0.000 15.636
1.636 0.945 19.489
0.000 0.000 12.548
1.636 0.945 1.036
1.636 0.945 5.308
1.636 0.945 8.843
0.000 0.000 7.077
0.000 0.000 21.033
1.636 0.945 14.091
```

no.,magnetization (μB per formula unit),formation energy (no corrections) (eV/atom)
1,0.0,0.23
2,0.0,-0.95
3,0.0,-0.90
4,0.0,-0.66
5,0.0,-0.54
6,0.0,-0.70
7,0.0,-0.57
8,0.0,-0.69
9,0.0,1.04
10,0.1,-0.59
11,1.2,-0.56
12,0.2,-0.95
13,0.0,-0.98
14,4.1,1.28
15,0.1,-0.94
16,1.9,-0.82
17,0.1,1.34
18,1.0,-0.92
19,0.0,-0.88
20,0.0,-0.79